1.
# Li3Tb2ZnNi12 | Alexandria | PBE | relaxed
# * raw total energy: -83.4 eV per cell
# * calculated density: 7.195 Mg/m³
# * formation enthalpy at 0 K: 0.1251 eV per atom
data_Li3Tb2ZnNi12
_chemical_formula_sum 'Li3 Tb2 Zn1 Ni12'
_symmetry_space_group_name_H-M 'P 1'
_symmetry_Int_Tables_number 1
_cell_length_a 9.617
_cell_length_b 9.617
_cell_length_c 9.617
_cell_angle_alpha 34.60
_cell_angle_beta 34.60
_cell_angle_gamma 34.60
loop_
_symmetry_equiv_pos_as_xyz
'x,y,z'
loop_
_atom_site_label
_atom_site_fract_x
_atom_site_fract_y
_atom_site_fract_z
Li1 0.000 0.500 0.500
Li2 0.500 0.000 0.500
Li3 0.500 0.500 0.000
Tb1 0.138 0.138 0.138
Tb2 0.862 0.862 0.862
Zn1 0.500 0.500 0.500
Ni1 0.071 0.621 0.621
Ni2 0.087 0.087 0.686
Ni3 0.087 0.686 0.087
Ni4 0.314 0.913 0.913
Ni5 0.379 0.379 0.929
Ni6 0.379 0.929 0.379
Ni7 0.621 0.071 0.621
Ni8 0.621 0.621 0.071
Ni9 0.686 0.087 0.087
Ni10 0.913 0.314 0.913
Ni11 0.913 0.913 0.314
Ni12 0.929 0.379 0.379

2.
# Li2GaPt | Alexandria | PBE | relaxed
# * raw total energy: -28.7 eV per cell
# * calculated density: 7.325 Mg/m³
# * formation enthalpy at 0 K: -0.3577 eV per atom
data_Li2GaPt
_chemical_formula_sum 'Li4 Ga2 Pt2'
_symmetry_space_group_name_H-M 'P 1'
_symmetry_Int_Tables_number 1
_cell_length_a 9.756
_cell_length_b 9.756
_cell_length_c 9.756
_cell_angle_alpha 158.34
_cell_angle_beta 158.34
_cell_angle_gamma 30.81
loop_
_symmetry_equiv_pos_as_xyz
'x,y,z'
loop_
_atom_site_label
_atom_site_fract_x
_atom_site_fract_y
_atom_site_fract_z
Li1 0.111 0.625 0.986
Li2 0.375 0.361 0.486
Li3 0.639 0.125 0.014
Li4 0.875 0.889 0.514
Ga1 0.250 0.750 0.500
Ga2 0.500 0.500 0.000
Pt1 0.000 0.000 0.000
Pt2 0.750 0.250 0.500

3.
# Th3Zn8Cd3 | Alexandria | PBE | relaxed
# * raw total energy: -38.7 eV per cell
# * calculated density: 9.022 Mg/m³
# * formation enthalpy at 0 K: -0.2519 eV per atom
data_Th3Zn8Cd3
_chemical_formula_sum 'Th3 Zn8 Cd3'
_symmetry_space_group_name_H-M 'P 1'
_symmetry_Int_Tables_number 1
_cell_length_a 8.577
_cell_length_b 8.577
_cell_length_c 8.577
_cell_angle_alpha 149.37
_cell_angle_beta 115.15
_cell_angle_gamma 73.41
loop_
_symmetry_equiv_pos_as_xyz
'x,y,z'
loop_
_atom_site_label
_atom_site_fract_x
_atom_site_fract_y
_atom_site_fract_z
Th1 0.000 0.000 0.000
Th2 0.292 0.292 0.000
Th3 0.708 0.708 0.000
Zn1 0.026 0.660 0.366
Zn2 0.120 0.848 0.272
Zn3 0.295 0.660 0.634
Zn4 0.423 0.152 0.272
Zn5 0.577 0.848 0.728
Zn6 0.705 0.340 0.366
Zn7 0.880 0.152 0.728
Zn8 0.974 0.340 0.634
Cd1 0.300 0.500 0.800
Cd2 0.500 0.000 0.500
Cd3 0.700 0.500 0.200

4.
# LiLaDy | Alexandria | PBE | relaxed
# * raw total energy: -11.1 eV per cell
# * offset from the most stable computed form: 0.022 eV per atom
# * calculated density: 5.532 Mg/m³
# * formation enthalpy at 0 K: 0.1090 eV per atom
data_LiLaDy
_chemical_formula_sum 'Li1 La1 Dy1'
_symmetry_space_group_name_H-M 'P 1'
_symmetry_Int_Tables_number 1
_cell_length_a 3.551
_cell_length_b 3.551
_cell_length_c 8.473
_cell_angle_alpha 90.00
_cell_angle_beta 90.00
_cell_angle_gamma 120.00
loop_
_symmetry_equiv_pos_as_xyz
'x,y,z'
loop_
_atom_site_label
_atom_site_fract_x
_atom_site_fract_y
_atom_site_fract_z
Li1 0.000 0.000 0.000
La1 0.333 0.667 0.662
Dy1 0.667 0.333 0.319

5.
# BaAcAs2Pt2 | Alexandria | PBE | relaxed
# * raw total energy: -34.3 eV per cell
# * calculated density: 9.739 Mg/m³
# * formation enthalpy at 0 K: -1.1523 eV per atom
data_BaAcAs2Pt2
_chemical_formula_sum 'Ba1 Ac1 As2 Pt2'
_symmetry_space_group_name_H-M 'P 1'
_symmetry_Int_Tables_number 1
_cell_length_a 4.420
_cell_length_b 4.420
_cell_length_c 9.112
_cell_angle_alpha 90.00
_cell_angle_beta 90.00
_cell_angle_gamma 120.00
loop_
_symmetry_equiv_pos_as_xyz
'x,y,z'
loop_
_atom_site_label
_atom_site_fract_x
_atom_site_fract_y
_atom_site_fract_z
Ba1 0.000 0.000 0.000
Ac1 0.000 0.000 0.500
As1 0.333 0.667 0.741
As2 0.667 0.333 0.259
Pt1 0.333 0.667 0.268
Pt2 0.667 0.333 0.732

6.
# NpRh2O8 | Alexandria | PBE | relaxed
# * raw total energy: -79.9 eV per cell
# * energy relative to the elements, uncorrected: -1.145 eV per atom
# * calculated density: 7.031 Mg/m³
data_NpRh2O8
_chemical_formula_sum 'Np1 Rh2 O8'
_symmetry_space_group_name_H-M 'P 1'
_symmetry_Int_Tables_number 1
_cell_length_a 4.066
_cell_length_b 5.909
_cell_length_c 5.921
_cell_angle_alpha 71.39
_cell_angle_beta 88.98
_cell_angle_gamma 88.88
loop_
_symmetry_equiv_pos_as_xyz
'x,y,z'
loop_
_atom_site_label
_atom_site_fract_x
_atom_site_fract_y
_atom_site_fract_z
Np1 0.000 0.000 0.000
Rh1 0.249 0.378 0.381
Rh2 0.751 0.622 0.619
O1 0.231 0.684 0.114
O2 0.234 0.113 0.682
O3 0.250 0.586 0.587
O4 0.266 0.181 0.181
O5 0.734 0.819 0.819
O6 0.750 0.414 0.413
O7 0.766 0.887 0.318
O8 0.769 0.316 0.886

7.
# Pu2GeRu | Alexandria | PBE | relaxed
# * raw total energy: -43.8 eV per cell
# * calculated density: 13.794 Mg/m³
# * formation enthalpy at 0 K: -0.3080 eV per atom
data_Pu2GeRu
_chemical_formula_sum 'Pu2 Ge1 Ru1'
_symmetry_space_group_name_H-M 'P 1'
_symmetry_Int_Tables_number 1
_cell_length_a 3.742
_cell_length_b 3.742
_cell_length_c 5.688
_cell_angle_alpha 90.00
_cell_angle_beta 90.00
_cell_angle_gamma 90.00
loop_
_symmetry_equiv_pos_as_xyz
'x,y,z'
loop_
_atom_site_label
_atom_site_fract_x
_atom_site_fract_y
_atom_site_fract_z
Pu1 0.000 0.000 0.249
Pu2 0.000 0.000 0.751
Ge1 0.500 0.500 0.500
Ru1 0.500 0.500 0.000

8.
# ZrMnCoRh | Alexandria | PBE | relaxed
# * raw total energy: -33.5 eV per cell
# * calculated density: 8.375 Mg/m³
# * formation enthalpy at 0 K: -0.3421 eV per atom
data_ZrMnCoRh
_chemical_formula_sum 'Zr1 Mn1 Co1 Rh1'
_symmetry_space_group_name_H-M 'P 1'
_symmetry_Int_Tables_number 1
_cell_length_a 4.420
_cell_length_b 4.420
_cell_length_c 4.420
_cell_angle_alpha 60.00
_cell_angle_beta 60.00
_cell_angle_gamma 60.00
loop_
_symmetry_equiv_pos_as_xyz
'x,y,z'
loop_
_atom_site_label
_atom_site_fract_x
_atom_site_fract_y
_atom_site_fract_z
Zr1 0.000 0.000 0.000
Mn1 0.500 0.500 0.500
Co1 0.250 0.250 0.250
Rh1 0.750 0.750 0.750

9.
# AcPmDyGa | Alexandria | PBE | relaxed
# * raw total energy: -16.4 eV per cell
# * calculated density: 8.406 Mg/m³
# * formation enthalpy at 0 K: 0.0312 eV per atom
data_AcPmDyGa
_chemical_formula_sum 'Ac1 Pm1 Dy1 Ga1'
_symmetry_space_group_name_H-M 'P 1'
_symmetry_Int_Tables_number 1
_cell_length_a 5.527
_cell_length_b 5.527
_cell_length_c 5.527
_cell_angle_alpha 60.00
_cell_angle_beta 60.00
_cell_angle_gamma 60.00
loop_
_symmetry_equiv_pos_as_xyz
'x,y,z'
loop_
_atom_site_label
_atom_site_fract_x
_atom_site_fract_y
_atom_site_fract_z
Ac1 0.000 0.000 0.000
Pm1 0.750 0.750 0.750
Dy1 0.250 0.250 0.250
Ga1 0.500 0.500 0.500

10.
# Nd5Ho6Er | Alexandria | PBE | relaxed
# * raw total energy: -55.7 eV per cell
# * offset from the most stable computed form: 0.000 eV per atom
# * calculated density: 7.991 Mg/m³
# * formation enthalpy at 0 K: 0.0148 eV per atom
data_Nd5Ho6Er
_chemical_formula_sum 'Nd5 Ho6 Er1'
_symmetry_space_group_name_H-M 'P 1'
_symmetry_Int_Tables_number 1
_cell_length_a 6.222
_cell_length_b 6.222
_cell_length_c 11.821
_cell_angle_alpha 95.02
_cell_angle_beta 95.02
_cell_angle_gamma 119.99
loop_
_symmetry_equiv_pos_as_xyz
'x,y,z'
loop_
_atom_site_label
_atom_site_fract_x
_atom_site_fract_y
_atom_site_fract_z
Nd1 0.000 0.000 0.000
Nd2 0.166 0.834 0.500
Nd3 0.333 0.667 0.000
Nd4 0.667 0.333 0.000
Nd5 0.834 0.166 0.500
Ho1 0.084 0.417 0.251
Ho2 0.251 0.251 0.749
Ho3 0.417 0.084 0.251
Ho4 0.583 0.916 0.749
Ho5 0.749 0.749 0.251
Ho6 0.916 0.583 0.749
Er1 0.500 0.500 0.500

11.
# CeThPd14 | Alexandria | PBE | relaxed
# * raw total energy: -93.3 eV per cell
# * calculated density: 11.441 Mg/m³
# * formation enthalpy at 0 K: -0.4550 eV per atom
data_CeThPd14
_chemical_formula_sum 'Ce1 Th1 Pd14'
_symmetry_space_group_name_H-M 'P 1'
_symmetry_Int_Tables_number 1
_cell_length_a 5.882
_cell_length_b 5.882
_cell_length_c 7.811
_cell_angle_alpha 90.00
_cell_angle_beta 90.00
_cell_angle_gamma 90.00
loop_
_symmetry_equiv_pos_as_xyz
'x,y,z'
loop_
_atom_site_label
_atom_site_fract_x
_atom_site_fract_y
_atom_site_fract_z
Ce1 0.000 0.000 0.000
Th1 0.500 0.500 0.000
Pd1 0.000 0.000 0.500
Pd2 0.000 0.500 0.000
Pd3 0.000 0.500 0.500
Pd4 0.248 0.248 0.258
Pd5 0.248 0.248 0.742
Pd6 0.248 0.752 0.258
Pd7 0.248 0.752 0.742
Pd8 0.500 0.000 0.000
Pd9 0.500 0.000 0.500
Pd10 0.500 0.500 0.500
Pd11 0.752 0.248 0.258
Pd12 0.752 0.248 0.742
Pd13 0.752 0.752 0.258
Pd14 0.752 0.752 0.742

12.
# CaAc3Cu | Alexandria | PBE | relaxed
# * raw total energy: -17.9 eV per cell
# * calculated density: 6.144 Mg/m³
# * formation enthalpy at 0 K: 0.1026 eV per atom
data_CaAc3Cu
_chemical_formula_sum 'Ca1 Ac3 Cu1'
_symmetry_space_group_name_H-M 'P 1'
_symmetry_Int_Tables_number 1
_cell_length_a 5.963
_cell_length_b 5.963
_cell_length_c 5.963
_cell_angle_alpha 90.00
_cell_angle_beta 90.00
_cell_angle_gamma 90.00
loop_
_symmetry_equiv_pos_as_xyz
'x,y,z'
loop_
_atom_site_label
_atom_site_fract_x
_atom_site_fract_y
_atom_site_fract_z
Ca1 0.000 0.000 0.000
Ac1 0.000 0.500 0.500
Ac2 0.500 0.000 0.500
Ac3 0.500 0.500 0.000
Cu1 0.500 0.500 0.500